Compound: SrTlBr2
Source: Alexandria via LeMat-Bulk
Functional: GGA-PBE
Structure: optimized geometry

a = 7.4192 Å, b = 7.4361 Å, c = 4.5338 Å
α = 90.00°, β = 90.00°, γ = 90.00°
Closest atoms and distances in Å follow each position.
Space group Cmmm (No. 65)
Unique sites:
Sr  0.0000  0.0000  0.0000 (multiplicity 2)  8 Br 3.47, 4 Tl 3.71-3.72
Tl  0.0000  0.5000  0.0000 (multiplicity 2)  8 Br 3.47, 4 Sr 3.71-3.72
Br  0.2500  0.2500  0.5000 (multiplicity 4)  4 Tl 3.47, 4 Sr 3.47, 4 Br 3.71-3.72

Summary:
Calculated total energy   -2.97 eV/atom
Offset from the most stable computed form   226 meV/atom